(1)
PBE Pm9PrTh2, optimized geometry; energy of formation = 38 meV per atom; symmetry = P4/mmm, No. 123; DOS at the Fermi energy = 1.293 states/eV per atom
1.0
5.1440 0.0000 0.0000
0.0000 5.1440 0.0000
0.0000 0.0000 15.4531
Pm Pr Th
9 1 2
direct
0.0000 0.0000 0.0000
0.0000 0.0000 0.3342
0.0000 0.0000 0.6658
0.0000 0.5000 0.1709
0.0000 0.5000 0.5000
0.0000 0.5000 0.8291
0.5000 0.0000 0.1709
0.5000 0.0000 0.5000
0.5000 0.0000 0.8291
0.5000 0.5000 0.0000
0.5000 0.5000 0.3343
0.5000 0.5000 0.6657

***

(2)
PBE Nd5Co2Hg2, optimized geometry; energy of formation = -221 meV per atom; symmetry = Cmce, No. 64; DOS at the Fermi energy = 0.827 states/eV per atom
1.0
8.1890 -3.7421 0.0000
8.1890 3.7421 0.0000
0.0000 0.0000 7.7875
Nd Co Hg
10 4 4
direct
0.0000 0.0000 0.0000
0.0578 0.7012 0.6811
0.2012 0.5578 0.1811
0.2988 0.9422 0.6811
0.4422 0.7988 0.1811
0.5000 0.5000 0.5000
0.5578 0.2012 0.8189
0.7012 0.0578 0.3189
0.7988 0.4422 0.8189
0.9422 0.2988 0.3189
0.1079 0.8921 0.3895
0.3921 0.6079 0.8895
0.6079 0.3921 0.1105
0.8921 0.1079 0.6105
0.2195 0.2195 0.0000
0.2805 0.2805 0.5000
0.7195 0.7195 0.5000
0.7805 0.7805 0.0000

***

(3)
PBE TaGaMo3, optimized geometry; energy of formation = 1389 meV per atom; symmetry = Pm-3m, No. 221; DOS at the Fermi energy = 1.387 states/eV per atom
1.0
4.5572 0.0000 0.0000
0.0000 4.5572 0.0000
0.0000 0.0000 4.5572
Ta Ga Mo
1 1 3
direct
0.0000 0.0000 0.0000
0.5000 0.5000 0.5000
0.0000 0.5000 0.5000
0.5000 0.0000 0.5000
0.5000 0.5000 0.0000

***

(4)
PBE ScTlCo2Cl8, optimized geometry; symmetry = R-3, No. 148; total energy = -4.25 eV per atom
1.0
3.1581 1.8234 9.4913
-3.1581 1.8234 9.4913
0.0000 -3.6467 9.4913
Sc Tl Co Cl
1 1 2 8
direct
0.0000 0.0000 0.0000
0.5000 0.5000 0.5000
0.2568 0.2568 0.2568
0.7432 0.7432 0.7432
0.0570 0.3713 0.7273
0.1799 0.1799 0.1799
0.2727 0.9430 0.6287
0.3713 0.7273 0.0570
0.6287 0.2727 0.9430
0.7273 0.0570 0.3713
0.8201 0.8201 0.8201
0.9430 0.6287 0.2727

***

(5)
PBE Tm8InPt2, optimized geometry; energy of formation = -539 meV per atom; symmetry = C2/m, No. 12; DOS at the Fermi energy = 1.219 states/eV per atom
1.0
4.3382 -6.6541 0.0000
4.3382 6.6541 0.0000
-1.3887 0.0000 5.1834
Tm In Pt
8 1 2
direct
0.0775 0.3297 0.5795
0.2442 0.7558 0.0000
0.3297 0.0775 0.5795
0.3903 0.3903 0.1970
0.6097 0.6097 0.8030
0.6703 0.9225 0.4205
0.7558 0.2442 0.0000
0.9225 0.6703 0.4205
0.0000 0.0000 0.0000
0.3069 0.6931 0.5000
0.6931 0.3069 0.5000

***

Repeat the third record exactly.
PBE TaGaMo3, optimized geometry; energy of formation = 1389 meV per atom; symmetry = Pm-3m, No. 221; DOS at the Fermi energy = 1.387 states/eV per atom
1.0
4.5572 0.0000 0.0000
0.0000 4.5572 0.0000
0.0000 0.0000 4.5572
Ta Ga Mo
1 1 3
direct
0.0000 0.0000 0.0000
0.5000 0.5000 0.5000
0.0000 0.5000 0.5000
0.5000 0.0000 0.5000
0.5000 0.5000 0.0000